Record 1
Entry from Alexandria via LeMat-Bulk: a relaxed BeTl2ZnAs2 crystal (PBE).

Cell lengths 5.520, 5.598, 9.808 Å; angles 106.58, 106.34, 90.00 degrees
Atoms (fractional coordinates):
Be: 0.500 0.250 0.000
Be: 0.500 0.750 0.000
Tl: 0.950 0.675 0.350
Tl: 0.401 0.175 0.350
Tl: 0.050 0.325 0.650
Tl: 0.599 0.825 0.650
As: 0.630 0.417 0.835
As: 0.205 0.917 0.835
As: 0.370 0.583 0.165
As: 0.795 0.083 0.165
Zn: 0.000 0.750 0.000
Zn: 0.000 0.250 0.000

Summary:
* ρ: 7.57 g/cm³
* E_form: -0.08 eV per atom
* size of the total moment: 0.000 μB per atom

***

Record 2
Entry from Alexandria via LeMat-Bulk: a relaxed Zn7Pd4Au crystal (PBE).

Cell lengths 4.771, 8.527, 5.466 Å; angles 83.57, 64.13, 73.75 degrees
Atoms (fractional coordinates):
Pd: 0.603 0.229 0.565
Pd: 0.731 0.684 0.854
Pd: 0.397 0.771 0.435
Pd: 0.269 0.316 0.146
Zn: 0.500 0.000 0.000
Zn: 0.342 0.539 0.777
Zn: 0.206 0.087 0.501
Zn: 0.034 0.625 0.307
Zn: 0.794 0.913 0.499
Zn: 0.966 0.375 0.693
Zn: 0.658 0.461 0.223
Au: 0.000 0.000 0.000

Summary:
* ρ: 9.34 g/cm³
* E_form: -0.22 eV per atom
* size of the total moment: 0.000 μB per atom

***

Record 3
Entry from Alexandria via LeMat-Bulk: a relaxed LiCe2Zn3Ge4 crystal (PBE).

Cell lengths 4.347, 4.347, 10.326 Å; angles 90.00, 90.00, 90.00 degrees
Last column: magnetic moment on the atom in μB.
Atoms (fractional coordinates):
Ge: 0.000 0.500 0.363  -0.02
Ge: 0.500 0.000 0.637  -0.02
Ge: 0.000 0.000 0.000  -0.02
Ge: 0.500 0.500 0.000  -0.02
Zn: 0.000 0.500 0.129  0.00
Zn: 0.000 0.000 0.500  0.00
Zn: 0.500 0.000 0.871  0.00
Ce: 0.000 0.500 0.757  0.83
Ce: 0.500 0.000 0.243  0.83
Li: 0.500 0.500 0.500  0.00

Summary:
* ρ: 6.59 g/cm³
* E_form: -0.42 eV per atom
* size of the total moment: 0.176 μB per atom

***

Record 4
Entry from Alexandria via LeMat-Bulk: a relaxed Ac2TeI2 crystal (PBE).

Cell lengths 4.724, 4.724, 11.959 Å; angles 78.61, 78.61, 60.00 degrees
Atoms (fractional coordinates):
Te: 0.000 0.000 0.000
I: 0.777 0.777 0.668
I: 0.223 0.223 0.332
Ac: 0.615 0.615 0.154
Ac: 0.385 0.385 0.846

Summary:
* ρ: 6.16 g/cm³
* size of the total moment: 0.000 μB per atom
* uncorrected formation energy: -1435 meV/atom

***

Record 5
Entry from Alexandria via LeMat-Bulk: a relaxed Rb2IrI7 crystal (PBE).

Cell lengths 8.818, 8.818, 8.536 Å; angles 58.90, 58.90, 90.00 degrees
Last column: magnetic moment on the atom in μB.
Atoms (fractional coordinates):
I: 0.216 0.216 0.000  0.03
I: 0.784 0.216 0.000  0.03
I: 0.765 0.765 0.471  0.01
I: 0.500 0.500 0.000  0.02
I: 0.235 0.235 0.529  0.01
I: 0.216 0.784 0.000  0.03
I: 0.784 0.784 0.000  0.03
Rb: 0.750 0.250 0.500  0.00
Rb: 0.250 0.750 0.500  0.00
Ir: 0.000 0.000 0.000  0.49

Summary:
* ρ: 4.58 g/cm³
* size of the total moment: 0.083 μB per atom
* uncorrected formation energy: -519 meV/atom

***

Record 6
Entry from Alexandria via LeMat-Bulk: a relaxed AcNd2Y crystal (PBE).

Cell lengths 4.262, 4.262, 8.168 Å; angles 90.00, 90.00, 90.00 degrees
Atoms (fractional coordinates):
Nd: 0.000 0.000 0.780
Nd: 0.000 0.000 0.220
Y: 0.500 0.500 0.000
Ac: 0.500 0.500 0.500

Summary:
* ρ: 6.77 g/cm³
* E_form: 0.11 eV per atom
* offset from the most stable computed form: 0.085 eV/atom
* size of the total moment: 0.000 μB per atom

***

Record 7
Entry from Alexandria via LeMat-Bulk: a relaxed U2Pd3Rh3 crystal (PBE).

Cell lengths 5.241, 5.326, 5.383 Å; angles 96.57, 82.06, 107.15 degrees
Last column: magnetic moment on the atom in μB.
Atoms (fractional coordinates):
Pd: 0.460 0.277 0.208  -0.05
Pd: 0.316 0.703 0.523  -0.05
Pd: 0.732 0.550 0.704  -0.05
U: 0.203 0.186 0.741  1.26
U: 0.848 0.781 0.211  0.87
Rh: 0.938 0.254 0.296  -0.11
Rh: 0.283 0.690 0.030  -0.12
Rh: 0.720 0.059 0.787  -0.12

Summary:
* ρ: 12.93 g/cm³
* E_form: -0.41 eV per atom
* offset from the most stable computed form: 0.204 eV/atom
* size of the total moment: 0.226 μB per atom

***

Record 8
Entry from Alexandria via LeMat-Bulk: a relaxed TaSn3O crystal (PBE).

Cell lengths 4.645, 4.645, 4.645 Å; angles 90.00, 90.00, 90.00 degrees
Atoms (fractional coordinates):
Ta: 0.500 0.500 0.500
Sn: 0.500 0.000 0.000
Sn: 0.000 0.500 0.000
Sn: 0.000 0.000 0.500
O: 0.000 0.000 0.000

Summary:
* ρ: 9.16 g/cm³
* offset from the most stable computed form: 0.000 eV/atom
* size of the total moment: 0.000 μB per atom
* uncorrected formation energy: 112 meV/atom